Compound: SrTlCrF6
Source: Alexandria
Functional: PBE with a Hubbard U
Structure: optimized geometry

As for the density: 4.9 Mg/m³. The value obtained for the volume is 627 Å³/cell. The calculation puts the total energy at -49.3 eV per formula unit. As for the density of states at the Fermi level: 0.0 states/eV per cell. The total magnetization is 0.333 μB/atom.

a b c (Å): 7.5431 8.0977 10.2683
angles (deg): 90.00 90.00 90.00
Space group Imma (No. 74)
One atom of each set of equivalent atoms:
Sr  0.0000  0.0000  0.0000 (multiplicity 4)
Tl  0.0000  0.2500  0.3982 (multiplicity 4)
Cr  0.2500  0.2500  0.7500 (multiplicity 4)
F  0.0000  0.2500  0.1247 (multiplicity 4)
F  0.0000  0.2500  0.8103 (multiplicity 4)
F  0.2175  0.0816  0.6194 (multiplicity 16)